Entry 1:
Below is a relaxed structure of Cr2InW, with properties calculated at the PBE level.

The structure in POSCAR format:
```
Cr2InW
1.0
2.758 0.003 0.000
-0.971 2.581 0.000
0.000 0.000 8.610
In W Cr
1 1 2
direct
0.500 0.500 0.250
0.500 0.500 0.750
0.000 0.000 0.983
0.000 0.000 0.517
```

DOS at the Fermi energy = 0.873 states/eV/atom
calculated volume = 61.32 Å³/cell
DFT formation energy = 416 meV per atom

Entry 2:
Below is a relaxed structure of Cr2InW, with properties calculated at the PBE level.

The structure in POSCAR format:
```
Cr2InW
1.0
5.116 0.005 -0.013
-2.108 4.662 -0.013
0.503 0.780 2.535
W In Cr
1 1 2
direct
0.000 0.500 0.500
0.500 0.000 0.500
0.000 0.000 0.000
0.500 0.500 0.000
```

DOS at the Fermi energy = 0.999 states/eV/atom
calculated volume = 60.60 Å³/cell
DFT formation energy = 574 meV per atom

Entry 3:
Below is a relaxed structure of Cr2InW, with properties calculated at the PBE level.

The structure in POSCAR format:
```
Cr2InW
1.0
5.020 0.007 0.022
3.974 3.068 0.022
1.983 0.678 3.959
W Cr In
1 2 1
direct
0.250 0.250 0.250
0.984 0.984 0.015
0.516 0.516 0.485
0.750 0.750 0.750
```

DOS at the Fermi energy = 1.015 states/eV/atom
calculated volume = 60.72 Å³/cell
DFT formation energy = 514 meV per atom